Record 1
Material: Ac6PrTl5
Method: DFT, PBE
State: optimized geometry

The space group is C2/m (No. 12) and the conventional cell measures 10.913, 12.429 and 6.900 Å, with angles of 90.00, 102.79 and 90.00 degrees. Symmetry generates all atoms from Ac at (0.209, 0.000, 0.208), Ac at (0.218, 0.183, 0.727), Pr at (0.000, 0.500, 0.000), Tl at (0.000, 0.000, 0.500), Tl at (0.000, 0.224, 0.000) and Tl at (0.000, 0.375, 0.500).

For the polymorph energy (0 for the lowest one), the calculation gives 0.0836 eV per atom. The crystal system is monoclinic. For the calculated formation energy, the calculation gives -2.1 eV per formula unit.

---

Record 2
Material: LaAl4P
Method: DFT, PBE
State: optimized geometry

The space group is Pmma (No. 51) and the conventional cell measures 9.507, 3.400 and 7.540 Å, with angles of 90.00, 90.00 and 90.00 degrees. Symmetry generates all atoms from La at (0.250, 0.000, 0.179), Al at (0.000, 0.000, 0.500), Al at (0.051, 0.500, 0.830), Al at (0.250, 0.500, 0.547) and P at (0.250, 0.000, 0.798).

For the polymorph energy (0 for the lowest one), the calculation gives 0.0000 eV per atom. The crystal system is orthorhombic. For the calculated formation energy, the calculation gives -1.2 eV per formula unit.

---

Record 3
Material: La3Rh2Au4
Method: DFT, PBE
State: optimized geometry

The space group is C2/m (No. 12) and the conventional cell measures 10.296, 4.641 and 9.570 Å, with angles of 90.00, 112.05 and 90.00 degrees. Symmetry generates all atoms from La at (0.000, 0.000, 0.000), La at (0.128, 0.500, 0.695), Rh at (0.113, 0.500, 0.285), Au at (0.126, 0.000, 0.453) and Au at (0.213, 0.500, 0.060).

The crystal system is monoclinic. For the calculated formation energy, the calculation gives -6.1 eV per formula unit.